A relaxed NiP2Cl crystal, computed with PBE.

Properties
DOS(E_F)   4.3 states/eV/cell
Distance to the lowest polymorph of the same formula   2.22 eV/f.u.
Spin magnetization   0.5 μB per formula unit
E_tot   -4.271 eV per atom
Formation energy from raw total energies   341 meV per atom
Space group   P4/mmm (123)

Structure (extended XYZ):
```
4
Lattice="3.242 0.000 0.000 0.000 3.242 0.000 0.000 0.000 7.299" Properties=species:S:1:pos:R:3 pbc="T T T"
Ni 0.000 0.000 0.000
P 0.000 1.621 3.649
P 1.621 0.000 3.649
Cl 1.621 1.621 0.000
```